First-principles (PBE) data for a relaxed structure of BaSrMg6O8, as listed in Alexandria via LeMat-Bulk.

Output
The calculation puts the calculated total energy at -5.47 eV per atom. Its raw formation energy is -209 kJ per mole of atoms. The spin magnetization comes out at 0.0 μB/cell.

Cell lengths 4.7365, 4.7365, 9.4694 Å; angles 90.00, 90.00, 90.00 degrees
Space group P4/mmm (No. 123)
Asymmetric unit:
1 Ba 0.0000 0.0000 0.0000 x1
2 Sr 0.0000 0.0000 0.5000 x1
3 Mg 0.0000 0.5000 0.2606 x4
4 Mg 0.5000 0.5000 0.0000 x1
5 Mg 0.5000 0.5000 0.5000 x1
6 O 0.0000 0.0000 0.2598 x2
7 O 0.0000 0.5000 0.0000 x2
8 O 0.0000 0.5000 0.5000 x2
9 O 0.5000 0.5000 0.2585 x2